(1)
InSiNi2 | PBE | optimized geometry

Results
formation energy without anion corrections	-0.068	eV/atom
Fermi-level density of states	3.2	states/eV/f.u.

Lattice parameters (Å, degrees): 7.9727 7.9727 7.9727 20.91 20.91 20.91
Atoms (fractional coordinates):
1 Ni 0.5110 0.5110 0.5110
2 Si 0.2500 0.2500 0.2500
3 Ni 0.9890 0.9890 0.9890
4 In 0.7500 0.7500 0.7500

***

(2)
SmFe3H6 | PBE | optimized geometry

Results
calculated total energy	-51.21	eV for the cell shown
Fermi-level density of states	4.8	states/eV/f.u.

Lattice parameters (Å, degrees): 4.6983 4.6961 5.0134 90.02 117.64 119.95
Atoms (fractional coordinates):
1 H 0.1619 0.7402 0.2205
2 H 0.4791 0.4231 0.2206
3 Fe 0.3436 0.6723 0.0167
4 Sm 0.7906 0.8955 0.6851
5 H 0.3188 0.9106 0.7474
6 H 0.7976 0.0548 0.2178
7 H 0.8394 0.4098 0.7488
8 H 0.3389 0.4286 0.7473
9 Fe 0.2619 0.1309 0.3915
10 Fe 0.6683 0.3342 0.0043

***

(3)
TaBeTe | PBE | optimized geometry

Results
formation energy without anion corrections	0.499	eV/atom
offset from the most stable computed form	105	kJ/mol of formula units
Fermi-level density of states	2.2	states/eV/f.u.

Lattice parameters (Å, degrees): 3.2017 3.2017 6.2117 90.00 90.00 120.00
Atoms (fractional coordinates):
1 Te 0.3333 0.6667 0.6683
2 Be 0.0000 0.0000 0.0158
3 Ta 0.6667 0.3333 0.3159